[1]
Material: Ac2HoEr2Hg5
Method: DFT, PBE
State: relaxed

a b c (Å): 12.1478 12.1478 3.9557
angles (deg): 90.00 90.00 90.00
Element x y z (fractional)
Ac  0.1728  0.3272  0.0000
Ac  0.3272  0.8272  0.0000
Ac  0.6728  0.1728  0.0000
Ac  0.8272  0.6728  0.0000
Ho  0.0000  0.0000  0.0000
Ho  0.5000  0.5000  0.0000
Er  0.1296  0.6296  0.0000
Er  0.3704  0.1296  0.0000
Er  0.6296  0.8704  0.0000
Er  0.8704  0.3704  0.0000
Hg  0.0000  0.5000  0.5000
Hg  0.0773  0.8174  0.5000
Hg  0.1826  0.0773  0.5000
Hg  0.3174  0.5773  0.5000
Hg  0.4227  0.3174  0.5000
Hg  0.5000  0.0000  0.5000
Hg  0.5773  0.6826  0.5000
Hg  0.6826  0.4227  0.5000
Hg  0.8174  0.9227  0.5000
Hg  0.9227  0.1826  0.5000

- Formation enthalpy at 0 K: -339.4 kJ/mol of formula units



[2]
Material: Ac2ErIn4Hg3
Method: DFT, PBE
State: relaxed

a b c (Å): 4.7277 4.7277 12.9714
angles (deg): 90.00 90.00 90.00
Element x y z (fractional)
Ac  0.0000  0.5000  0.2398
Ac  0.5000  0.0000  0.7602
Er  0.0000  0.0000  0.5000
In  0.0000  0.0000  0.0000
In  0.0000  0.5000  0.6475
In  0.5000  0.0000  0.3525
In  0.5000  0.5000  0.0000
Hg  0.0000  0.5000  0.8629
Hg  0.5000  0.0000  0.1371
Hg  0.5000  0.5000  0.5000

- Formation enthalpy at 0 K: -340.2 kJ/mol of formula units



[3]
Material: AcErInHg
Method: DFT, PBE
State: relaxed

a b c (Å): 5.5494 5.5494 5.5494
angles (deg): 60.00 60.00 60.00
Element x y z (fractional)
Ac  0.0000  0.0000  0.0000
Er  0.5000  0.5000  0.5000
In  0.7500  0.7500  0.7500
Hg  0.2500  0.2500  0.2500

- Formation enthalpy at 0 K: -155.3 kJ/mol of formula units



[4]
Material: Ac2ErInHg6
Method: DFT, PBE
State: relaxed

a b c (Å): 7.7839 7.7839 7.7839
angles (deg): 60.00 60.00 60.00
Element x y z (fractional)
Ac  0.2500  0.2500  0.2500
Ac  0.7500  0.7500  0.7500
Er  0.0000  0.0000  0.0000
In  0.5000  0.5000  0.5000
Hg  0.2523  0.2523  0.7477
Hg  0.2523  0.7477  0.2523
Hg  0.2523  0.7477  0.7477
Hg  0.7477  0.2523  0.2523
Hg  0.7477  0.2523  0.7477
Hg  0.7477  0.7477  0.2523

- Formation enthalpy at 0 K: -57.5 kJ/mol of formula units



[5]
Material: AcErIn2Hg2
Method: DFT, PBE
State: relaxed

a b c (Å): 4.9440 4.9440 7.8524
angles (deg): 90.00 90.00 120.00
Element x y z (fractional)
Ac  0.0000  0.0000  0.0000
Er  0.0000  0.0000  0.5000
In  0.3333  0.6667  0.2631
In  0.6667  0.3333  0.7369
Hg  0.3333  0.6667  0.6874
Hg  0.6667  0.3333  0.3126

- Formation enthalpy at 0 K: -256.3 kJ/mol of formula units



[6]
Material: AcErHgIr
Method: DFT, PBE
State: relaxed

a b c (Å): 5.2534 5.2534 5.2534
angles (deg): 60.00 60.00 60.00
Element x y z (fractional)
Ac  0.0000  0.0000  0.0000
Er  0.5000  0.5000  0.5000
Hg  0.2500  0.2500  0.2500
Ir  0.7500  0.7500  0.7500

- Formation enthalpy at 0 K: -175.5 kJ/mol of formula units



[7]
Material: AcLaEr2Hg4
Method: DFT, PBE
State: relaxed

a b c (Å): 9.5115 9.5115 9.5115
angles (deg): 33.16 33.16 33.16
Element x y z (fractional)
Ac  0.0000  0.0000  0.0000
La  0.5000  0.5000  0.5000
Er  0.2475  0.2475  0.2475
Er  0.7525  0.7525  0.7525
Hg  0.1266  0.1266  0.1266
Hg  0.3788  0.3788  0.3788
Hg  0.6212  0.6212  0.6212
Hg  0.8734  0.8734  0.8734

- Formation enthalpy at 0 K: -341.8 kJ/mol of formula units



[8]
Material: Li2AcErHg4
Method: DFT, PBE
State: relaxed

a b c (Å): 9.7147 9.7147 9.7147
angles (deg): 29.61 29.61 29.61
Element x y z (fractional)
Li  0.2372  0.2372  0.2372
Li  0.7628  0.7628  0.7628
Ac  0.0000  0.0000  0.0000
Er  0.5000  0.5000  0.5000
Hg  0.1251  0.1251  0.1251
Hg  0.3924  0.3924  0.3924
Hg  0.6076  0.6076  0.6076
Hg  0.8749  0.8749  0.8749

- Formation enthalpy at 0 K: -324.2 kJ/mol of formula units



[9]
Material: LiAcErHg
Method: DFT, PBE
State: relaxed

a b c (Å): 5.4710 5.4710 5.4710
angles (deg): 60.00 60.00 60.00
Element x y z (fractional)
Li  0.0000  0.0000  0.0000
Ac  0.7500  0.7500  0.7500
Er  0.2500  0.2500  0.2500
Hg  0.5000  0.5000  0.5000

- Formation enthalpy at 0 K: -60.1 kJ/mol of formula units



[10]
Material: Ac2ErMg3Hg12
Method: DFT, PBE
State: relaxed

a b c (Å): 12.6526 12.6526 12.6526
angles (deg): 32.18 32.18 32.18
Element x y z (fractional)
Ac  0.1383  0.1383  0.1383
Ac  0.8617  0.8617  0.8617
Er  0.5000  0.5000  0.5000
Mg  0.0000  0.5000  0.5000
Mg  0.5000  0.0000  0.5000
Mg  0.5000  0.5000  0.0000
Hg  0.0883  0.6228  0.6228
Hg  0.0940  0.0940  0.6605
Hg  0.0940  0.6605  0.0940
Hg  0.3395  0.9060  0.9060
Hg  0.3772  0.3772  0.9117
Hg  0.3772  0.9117  0.3772
Hg  0.6228  0.0883  0.6228
Hg  0.6228  0.6228  0.0883
Hg  0.6605  0.0940  0.0940
Hg  0.9060  0.3395  0.9060
Hg  0.9060  0.9060  0.3395
Hg  0.9117  0.3772  0.3772

- Formation enthalpy at 0 K: -295.9 kJ/mol of formula units



[11]
Material: AcEr2MgHg4
Method: DFT, PBE
State: relaxed

a b c (Å): 10.0213 10.0213 10.0213
angles (deg): 29.41 29.41 29.41
Element x y z (fractional)
Ac  0.0000  0.0000  0.0000
Er  0.2366  0.2366  0.2366
Er  0.7634  0.7634  0.7634
Mg  0.5000  0.5000  0.5000
Hg  0.1277  0.1277  0.1277
Hg  0.3922  0.3922  0.3922
Hg  0.6078  0.6078  0.6078
Hg  0.8723  0.8723  0.8723

- Formation enthalpy at 0 K: -322.8 kJ/mol of formula units



[12]
Material: AcErMg2Hg4
Method: DFT, PBE
State: relaxed

a b c (Å): 9.3896 9.3896 9.3896
angles (deg): 31.65 31.65 31.65
Element x y z (fractional)
Ac  0.0000  0.0000  0.0000
Er  0.5000  0.5000  0.5000
Mg  0.2437  0.2437  0.2437
Mg  0.7563  0.7563  0.7563
Hg  0.1279  0.1279  0.1279
Hg  0.3866  0.3866  0.3866
Hg  0.6134  0.6134  0.6134
Hg  0.8721  0.8721  0.8721

- Formation enthalpy at 0 K: -332.3 kJ/mol of formula units



[13]
Material: AcErMgHg
Method: DFT, PBE
State: relaxed

a b c (Å): 5.5347 5.5347 5.5347
angles (deg): 60.00 60.00 60.00
Element x y z (fractional)
Ac  0.0000  0.0000  0.0000
Er  0.5000  0.5000  0.5000
Mg  0.2500  0.2500  0.2500
Hg  0.7500  0.7500  0.7500

- Formation enthalpy at 0 K: -78.1 kJ/mol of formula units



[14]
Material: NaAcEr2Hg4
Method: DFT, PBE
State: relaxed

a b c (Å): 9.6712 9.6712 9.6712
angles (deg): 31.38 31.38 31.38
Element x y z (fractional)
Na  0.0000  0.0000  0.0000
Ac  0.5000  0.5000  0.5000
Er  0.2593  0.2593  0.2593
Er  0.7407  0.7407  0.7407
Hg  0.1123  0.1123  0.1123
Hg  0.3730  0.3730  0.3730
Hg  0.6270  0.6270  0.6270
Hg  0.8877  0.8877  0.8877

- Formation enthalpy at 0 K: -291.2 kJ/mol of formula units



[15]
Material: AcNdEr2Hg4
Method: DFT, PBE
State: relaxed

a b c (Å): 9.4971 9.4971 9.4971
angles (deg): 32.95 32.95 32.95
Element x y z (fractional)
Ac  0.0000  0.0000  0.0000
Nd  0.5000  0.5000  0.5000
Er  0.2468  0.2468  0.2468
Er  0.7532  0.7532  0.7532
Hg  0.1272  0.1272  0.1272
Hg  0.3806  0.3806  0.3806
Hg  0.6194  0.6194  0.6194
Hg  0.8728  0.8728  0.8728

- Formation enthalpy at 0 K: -338.4 kJ/mol of formula units



[16]
Material: AcErHgPb
Method: DFT, PBE
State: relaxed

a b c (Å): 5.5787 5.5787 5.5787
angles (deg): 60.00 60.00 60.00
Element x y z (fractional)
Ac  0.0000  0.0000  0.0000
Er  0.5000  0.5000  0.5000
Hg  0.7500  0.7500  0.7500
Pb  0.2500  0.2500  0.2500

- Formation enthalpy at 0 K: -157.5 kJ/mol of formula units



[17]
Material: AcPmEr2Hg4
Method: DFT, PBE
State: relaxed

a b c (Å): 9.5314 9.5314 9.5314
angles (deg): 32.66 32.66 32.66
Element x y z (fractional)
Ac  0.0000  0.0000  0.0000
Pm  0.5000  0.5000  0.5000
Er  0.2462  0.2462  0.2462
Er  0.7538  0.7538  0.7538
Hg  0.1275  0.1275  0.1275
Hg  0.3821  0.3821  0.3821
Hg  0.6179  0.6179  0.6179
Hg  0.8725  0.8725  0.8725

- Formation enthalpy at 0 K: -340.3 kJ/mol of formula units



[18]
Material: AcErHgPt
Method: DFT, PBE
State: relaxed

a b c (Å): 5.3159 5.3159 5.3159
angles (deg): 60.00 60.00 60.00
Element x y z (fractional)
Ac  0.0000  0.0000  0.0000
Er  0.5000  0.5000  0.5000
Hg  0.7500  0.7500  0.7500
Pt  0.2500  0.2500  0.2500

- Formation enthalpy at 0 K: -266.0 kJ/mol of formula units



[19]
Material: AcErHgRh
Method: DFT, PBE
State: relaxed

a b c (Å): 5.2703 5.2703 5.2703
angles (deg): 60.00 60.00 60.00
Element x y z (fractional)
Ac  0.0000  0.0000  0.0000
Er  0.5000  0.5000  0.5000
Hg  0.7500  0.7500  0.7500
Rh  0.2500  0.2500  0.2500

- Formation enthalpy at 0 K: -181.8 kJ/mol of formula units



[20]
Material: AcErHgSb
Method: DFT, PBE
State: relaxed

a b c (Å): 5.5288 5.5288 5.5288
angles (deg): 60.00 60.00 60.00
Element x y z (fractional)
Ac  0.0000  0.0000  0.0000
Er  0.5000  0.5000  0.5000
Hg  0.2500  0.2500  0.2500
Sb  0.7500  0.7500  0.7500

- Uncorrected formation energy: -0.573 eV/atom



Computed electronic total energy, in the same sequence as the records: -2.69; -2.82; -3.33; -1.79; -2.90; -4.91; -2.86; -2.13; -2.88; -1.35; -2.42; -2.06; -2.84; -2.35; -2.84; -3.58; -2.84; -4.44; -4.55; -3.85 eV per atom.
Computed ρ, in the same sequence as the records: 11.1; 9.6; 9.8; 9.7; 10.2; 12.7; 10.9; 10.1; 8.6; 10.1; 10.7; 10.2; 8.6; 10.6; 11.1; 10.8; 11.2; 12.3; 11.2; 10.0 g cm⁻³.
Computed magnetization, in the same sequence as the records: 1.20; 0.00; 0.00; 0.00; 0.00; 0.00; 0.56; 0.00; 0.00; 0.00; 0.00; 0.00; 0.00; 0.00; 0.61; 0.00; 0.31; 0.00; 0.00; 0.00 μB per cell.